Arrangement A

This record from Alexandria via LeMat-Bulk describes a geometry-optimized Zn2CrI structure. The functional is PBE.

**ρ**: 5.6 g/cm3
**DOS at the Fermi energy**: 2.6 states/eV/f.u.

a b c (Å): 7.1604 7.1604 7.1604
angles (deg): 90.00 90.00 90.00
Closest atoms and distances in Å follow each position.
Space group Fm-3m (No. 225)
Symmetry-distinct sites (fractional):
1 Zn 0.2500 0.2500 0.2500  4 Cr 3.10, 4 I 3.10
2 Cr 0.0000 0.0000 0.0000  8 Zn 3.10
3 I 0.0000 0.0000 0.5000  8 Zn 3.10

=====

Arrangement B

This record from Alexandria via LeMat-Bulk describes a geometry-optimized Zn2CrI structure. The functional is PBE.

**ρ**: 5.6 g/cm3
**DOS at the Fermi energy**: 1.5 states/eV/f.u.

a b c (Å): 8.0886 8.0886 5.6432
angles (deg): 90.00 90.00 90.00
Closest atoms and distances in Å follow each position.
Space group I-42d (No. 122)
Symmetry-distinct sites (fractional):
1 Zn 0.2217 0.2500 0.1250  2 Cr 2.79, 2 Zn 2.86, 2 I 3.11
2 Cr 0.0000 0.0000 0.0000  4 Zn 2.79, 2 I 2.82
3 I 0.0000 0.0000 0.5000  2 Cr 2.82, 4 Zn 3.11

=====

Pick arrangement B: it beats the second-best structure by 340 meV per atom.

=====

Arrangement A

This record from Alexandria via LeMat-Bulk describes a geometry-optimized ZrCrI2 structure. The functional is PBE.

**ρ**: 7.0 g/cm3
**DOS at the Fermi energy**: 1.9 states/eV/f.u.

a b c (Å): 7.2254 7.2254 7.2254
angles (deg): 90.00 90.00 90.00
Closest atoms and distances in Å follow each position.
Space group Fm-3m (No. 225)
Symmetry-distinct sites (fractional):
1 Zr 0.0000 0.0000 0.0000  8 I 3.13
2 Cr 0.0000 0.0000 0.5000  8 I 3.13
3 I 0.2500 0.2500 0.2500  4 Cr 3.13, 4 Zr 3.13

=====

Arrangement B

This record from Alexandria via LeMat-Bulk describes a geometry-optimized ZrCrI2 structure. The functional is PBE.

**ρ**: 4.8 g/cm3
**DOS at the Fermi energy**: 3.5 states/eV/f.u.

a b c (Å): 6.5827 6.5827 12.6443
angles (deg): 90.00 90.00 90.00
Closest atoms and distances in Å follow each position.
Space group I-42d (No. 122)
Symmetry-distinct sites (fractional):
1 Zr 0.0000 0.0000 0.0000  4 I 2.88
2 Cr 0.0000 0.0000 0.5000  4 I 2.75
3 I 0.2320 0.2500 0.6250  2 Cr 2.75, 2 Zr 2.88

=====

Pick arrangement A: it beats the second-best structure by 258 meV per atom.